(1)
DFT (PBE) results for MgCu2Ir after structural relaxation.

Cell lengths 2.7422, 2.7422, 26.2580 Å; angles 90.00, 90.00, 120.00 degrees
Element x y z (fractional)
Mg (0.0000, 0.0000, 0.0000)
Mg (0.3333, 0.6667, 0.6667)
Mg (0.6667, 0.3333, 0.3333)
Cu (0.0000, 0.0000, 0.2488)
Cu (0.0000, 0.0000, 0.7512)
Cu (0.3333, 0.6667, 0.4179)
Cu (0.3333, 0.6667, 0.9155)
Cu (0.6667, 0.3333, 0.0845)
Cu (0.6667, 0.3333, 0.5821)
Ir (0.0000, 0.0000, 0.5000)
Ir (0.3333, 0.6667, 0.1667)
Ir (0.6667, 0.3333, 0.8333)

Results
* energy of formation: 10 kJ/mol of atoms
* raw total energy: -18.2 eV per formula unit



(2)
DFT (PBE) results for Zn2Ga2Au7 after structural relaxation.

Cell lengths 5.7455, 5.7455, 6.9018 Å; angles 96.89, 96.89, 113.63 degrees
Element x y z (fractional)
Zn (0.1938, 0.8062, 0.0000)
Zn (0.8062, 0.1938, 0.0000)
Ga (0.3676, 0.3676, 0.8350)
Ga (0.6324, 0.6324, 0.1650)
Au (0.0623, 0.5717, 0.3087)
Au (0.0648, 0.0648, 0.2878)
Au (0.4283, 0.9377, 0.6913)
Au (0.5000, 0.5000, 0.5000)
Au (0.5717, 0.0623, 0.3087)
Au (0.9352, 0.9352, 0.7122)
Au (0.9377, 0.4283, 0.6913)

Results
* energy of formation: -10 kJ/mol of atoms
* relative energy among the computed polymorphs: 0.024 eV/atom
* raw total energy: -32.7 eV per formula unit



(3)
DFT (PBE) results for Cu2RhI6 after structural relaxation.

Cell lengths 8.3689, 8.3689, 9.6437 Å; angles 103.59, 103.59, 27.00 degrees
Element x y z (fractional)
Cu (0.1768, 0.1768, 0.3638)
Cu (0.8232, 0.8232, 0.6362)
Rh (0.5000, 0.5000, 0.0000)
I (0.0416, 0.0416, 0.8370)
I (0.3386, 0.3386, 0.8396)
I (0.3525, 0.3525, 0.4559)
I (0.6475, 0.6475, 0.5441)
I (0.6614, 0.6614, 0.1604)
I (0.9584, 0.9584, 0.1630)

Results
* relative energy among the computed polymorphs: 0.000 eV/atom
* raw total energy: -26.1 eV per formula unit
* formation energy without anion corrections: -0.144 eV per atom



(4)
DFT (PBE) results for CrIr after structural relaxation.

Cell lengths 4.3626, 4.3626, 7.0596 Å; angles 90.00, 90.00, 120.00 degrees
Element x y z (fractional)
Cr (0.3333, 0.6667, 0.1001)
Cr (0.3333, 0.6667, 0.3999)
Cr (0.6667, 0.3333, 0.6001)
Cr (0.6667, 0.3333, 0.8999)
Ir (0.0000, 0.0000, 0.2500)
Ir (0.0000, 0.0000, 0.7500)
Ir (0.3333, 0.6667, 0.7500)
Ir (0.6667, 0.3333, 0.2500)

Results
* energy of formation: 35 kJ/mol of atoms
* raw total energy: -17.8 eV per formula unit



(5)
DFT (PBE) results for CuAgIrO4 after structural relaxation.

Cell lengths 6.5382, 6.5382, 6.5382 Å; angles 128.07, 122.53, 81.12 degrees
Element x y z (fractional)
Cu (0.5000, 0.0000, 0.0000)
Cu (0.5000, 0.5000, 0.5000)
Ag (0.0768, 0.3268, 0.7500)
Ag (0.9232, 0.6732, 0.2500)
Ir (0.0000, 0.0000, 0.0000)
Ir (0.5000, 0.0000, 0.5000)
O (0.2320, 0.1961, 0.4641)
O (0.2320, 0.7679, 0.0359)
O (0.2496, 0.1993, 0.0503)
O (0.3510, 0.8007, 0.5503)
O (0.6490, 0.1993, 0.4497)
O (0.7504, 0.8007, 0.9497)
O (0.7680, 0.2321, 0.9641)
O (0.7680, 0.8039, 0.5359)

Results
* raw total energy: -39.2 eV per formula unit
* formation energy without anion corrections: -0.508 eV per atom



(6)
DFT (PBE) results for CaRePb2 after structural relaxation.

Cell lengths 3.6477, 3.6477, 7.6403 Å; angles 90.00, 90.00, 90.00 degrees
Element x y z (fractional)
Ca (0.0000, 0.0000, 0.0000)
Re (0.5000, 0.5000, 0.7354)
Pb (0.0000, 0.0000, 0.5916)
Pb (0.5000, 0.5000, 0.3092)

Results
* energy of formation: 51 kJ/mol of atoms
* relative energy among the computed polymorphs: 0.150 eV/atom
* raw total energy: -19.8 eV per formula unit



(7)
DFT (PBE) results for Pr2Dy3Tm5 after structural relaxation.

Cell lengths 12.2655, 12.2655, 12.2655 Å; angles 135.00, 56.24, 148.06 degrees
Element x y z (fractional)
Pr (0.1259, 0.1057, 0.2316)
Pr (0.3741, 0.6057, 0.9798)
Pr (0.6259, 0.3943, 0.0202)
Pr (0.8741, 0.8943, 0.7684)
Dy (0.1273, 0.7485, 0.8758)
Dy (0.2500, 0.2500, 0.0000)
Dy (0.3727, 0.2485, 0.6212)
Dy (0.6273, 0.7515, 0.3788)
Dy (0.7500, 0.7500, 0.0000)
Dy (0.8727, 0.2515, 0.1242)
Tm (0.0025, 0.7500, 0.2525)
Tm (0.1242, 0.4156, 0.5398)
Tm (0.2500, 0.7500, 0.5000)
Tm (0.3758, 0.9156, 0.2913)
Tm (0.4975, 0.7500, 0.7475)
Tm (0.5025, 0.2500, 0.2525)
Tm (0.6242, 0.0844, 0.7087)
Tm (0.7500, 0.2500, 0.5000)
Tm (0.8758, 0.5844, 0.4602)
Tm (0.9975, 0.2500, 0.7475)

Results
* energy of formation: 41 kJ/mol of atoms
* relative energy among the computed polymorphs: 0.227 eV/atom
* raw total energy: -41.5 eV per formula unit



(8)
DFT (PBE) results for HfTi2Tc after structural relaxation.

Cell lengths 3.1543, 3.1543, 6.9621 Å; angles 90.00, 90.00, 90.00 degrees
Element x y z (fractional)
Hf (0.0000, 0.0000, 0.0000)
Ti (0.5000, 0.5000, 0.2898)
Ti (0.5000, 0.5000, 0.7102)
Tc (0.0000, 0.0000, 0.5000)

Results
* energy of formation: -24 kJ/mol of atoms
* relative energy among the computed polymorphs: 0.064 eV/atom
* raw total energy: -37.1 eV per formula unit